Below is a geometry-optimized Rb2CoCuI6 structure, with properties calculated at the PBE-GGA level.

Cell: 8.183 8.183 8.124 Å, 59.76 59.76 90.00°
Positions (direct):
I: 0.219 0.219 0.561
I: 0.781 0.781 0.439
I: 0.275 0.275 0.000
I: 0.725 0.725 0.000
I: 0.725 0.275 0.000
I: 0.275 0.725 0.000
Co: 0.500 0.500 0.000
Cu: 0.000 0.000 0.000
Rb: 0.750 0.250 0.500
Rb: 0.250 0.750 0.500

Results
**DOS at the Fermi energy**: 16.5 states/eV per cell
**E_tot**: -2.808 eV per atom
**Magnetization**: 2.0 μB per formula unit
**Formation energy without anion corrections**: -13.0 kcal/mol of atoms

Below is a geometry-optimized LiZnHg2 structure, with properties calculated at the PBE-GGA level.

Cell: 9.067 9.067 9.067 Å, 21.28 21.28 21.28°
Positions (direct):
Hg: 0.007 0.007 0.007
Hg: 0.242 0.242 0.242
Li: 0.496 0.496 0.496
Zn: 0.754 0.754 0.754

Results
**Formation enthalpy at 0 K**: -0.04 eV/atom
**DOS at the Fermi energy**: 0.9 states/eV per cell
**E_tot**: -0.989 eV per atom
**Magnetization**: 0.0 μB per formula unit

Below is a geometry-optimized NaSnSb2Te structure, with properties calculated at the PBE-GGA level.

Cell: 5.730 5.730 5.890 Å, 90.00 90.00 90.00°
Positions (direct):
Sb: 0.000 0.500 0.000
Sb: 0.500 0.000 0.000
Te: 0.000 0.000 0.500
Sn: 0.000 0.000 0.000
Na: 0.500 0.500 0.500

Results
**DOS at the Fermi energy**: 5.7 states/eV per cell
**E_tot**: -2.994 eV per atom
**Magnetization**: 0.9 μB per formula unit
**Polymorph energy (0 for the lowest one)**: 0.0000 eV per atom
**Formation energy without anion corrections**: 8.0 kcal/mol of atoms

Below is a geometry-optimized BaAc6Tb2 structure, with properties calculated at the PBE-GGA level.

Cell: 6.650 6.650 12.633 Å, 90.00 90.00 120.00°
Positions (direct):
Ba: 0.000 0.000 0.000
Ac: 0.330 0.330 0.722
Ac: 0.670 0.000 0.722
Ac: 0.000 0.670 0.722
Ac: 0.330 0.000 0.278
Ac: 0.000 0.330 0.278
Ac: 0.670 0.670 0.278
Tb: 0.667 0.333 0.500
Tb: 0.333 0.667 0.500

Results
**Formation enthalpy at 0 K**: 0.47 eV/atom
**DOS at the Fermi energy**: 13.3 states/eV per cell
**E_tot**: -3.514 eV per atom
**Magnetization**: 0.0 μB per formula unit

Below is a geometry-optimized Na2TiAlSb structure, with properties calculated at the PBE-GGA level.

Cell: 5.176 5.082 5.176 Å, 90.00 90.00 90.00°
Positions (direct):
Sb: 0.500 0.500 0.500
Na: 0.000 0.000 0.500
Na: 0.500 0.000 0.000
Al: 0.000 0.000 0.000
Ti: 0.000 0.500 0.000

Results
**DOS at the Fermi energy**: 5.0 states/eV per cell
**E_tot**: -3.054 eV per atom
**Magnetization**: 0.0 μB per formula unit
**Formation energy without anion corrections**: 14.4 kcal/mol of atoms

Below is a geometry-optimized YZr2Sn structure, with properties calculated at the PBE-GGA level.

Cell: 8.377 8.377 6.649 Å, 50.96 50.96 90.00°
Positions (direct):
Y: 0.500 0.500 0.000
Y: 0.250 0.750 0.500
Sn: 0.000 0.000 0.000
Sn: 0.750 0.250 0.500
Zr: 0.652 0.125 0.250
Zr: 0.098 0.625 0.250
Zr: 0.375 0.348 0.750
Zr: 0.875 0.902 0.750

Results
**Formation enthalpy at 0 K**: 0.14 eV/atom
**DOS at the Fermi energy**: 7.0 states/eV per cell
**E_tot**: -6.747 eV per atom
**Magnetization**: 0.0 μB per formula unit

Below is a geometry-optimized SmEuPd2 structure, with properties calculated at the PBE-GGA level.

Cell: 5.086 5.086 5.086 Å, 60.00 60.00 60.00°
Positions (direct):
Eu: 0.000 0.000 0.000
Pd: 0.250 0.250 0.250
Pd: 0.750 0.750 0.750
Sm: 0.500 0.500 0.500

Results
**Formation enthalpy at 0 K**: -0.72 eV/atom
**DOS at the Fermi energy**: 9.2 states/eV per cell
**E_tot**: -7.067 eV per atom
**Magnetization**: 7.1 μB per formula unit
**Polymorph energy (0 for the lowest one)**: 0.0298 eV per atom

Below is a geometry-optimized HoAlFeGe2 structure, with properties calculated at the PBE-GGA level.

Cell: 5.589 5.509 5.577 Å, 90.00 90.00 90.00°
Positions (direct):
Ho: 0.218 0.250 0.500
Ho: 0.782 0.750 0.500
Al: 0.646 0.750 0.000
Al: 0.354 0.250 0.000
Fe: 0.000 0.000 0.000
Fe: 0.000 0.500 0.000
Ge: 0.741 0.250 0.744
Ge: 0.741 0.250 0.256
Ge: 0.259 0.750 0.744
Ge: 0.259 0.750 0.256

Results
**Formation enthalpy at 0 K**: -0.43 eV/atom
**DOS at the Fermi energy**: 4.5 states/eV per cell
**E_tot**: -5.629 eV per atom
**Magnetization**: 0.1 μB per formula unit